(1)
! GGA-PBE Mg2SiNi, optimized geometry; values from VASP
&SYSTEM
  ibrav = 0, nat = 4, ntyp = 3
/
ATOMIC_SPECIES
Mg 24.30 Mg.upf
Ni 58.69 Ni.upf
Si 28.09 Si.upf
CELL_PARAMETERS angstrom
-1.107 -0.548 5.019
0.538 -2.919 4.231
3.512 1.558 2.645
ATOMIC_POSITIONS angstrom
Mg 3.369 1.434 2.717
Mg 0.932 -0.306 2.869
Ni 1.451 -0.862 5.625
Si 2.176 -1.572 9.276
! N(E_F): 1.4 states/eV per cell
! ΔE_f (raw): -0.152 eV/atom
! E: -3.75 eV/atom
! calculated density: 3.51 g cm⁻³
! crystal system: monoclinic

(2)
! GGA-PBE CrMo2, optimized geometry; values from VASP
&SYSTEM
  ibrav = 0, nat = 3, ntyp = 2
/
ATOMIC_SPECIES
Cr 52.00 Cr.upf
Mo 95.94 Mo.upf
CELL_PARAMETERS angstrom
-2.354 0.158 1.264
-0.379 -0.922 -2.485
2.107 -5.678 2.745
ATOMIC_POSITIONS angstrom
Cr 0.000 0.000 0.000
Mo -1.129 -2.331 0.077
Mo 0.502 -4.111 1.449
! N(E_F): 2.6 states/eV per cell
! E: -10.36 eV/atom
! calculated density: 9.27 g cm⁻³
! ΔE_f: 0.0706 eV/atom
! crystal system: orthorhombic
! excess energy over the best structure of this formula in the dataset: 0.461 kcal/mol of atoms

(3)
! GGA-PBE TiCdAg2, optimized geometry; values from VASP
&SYSTEM
  ibrav = 0, nat = 8, ntyp = 3
/
ATOMIC_SPECIES
Ti 47.87 Ti.upf
Ag 107.87 Ag.upf
Cd 112.41 Cd.upf
CELL_PARAMETERS angstrom
-7.003 -1.239 2.611
2.217 -6.693 2.771
-1.692 -2.708 5.168
ATOMIC_POSITIONS angstrom
Ti -2.393 -3.966 2.691
Ti -0.933 -6.684 5.315
Ag -4.487 -2.282 3.258
Ag 0.053 -5.021 3.364
Ag -3.052 -5.039 5.908
Ag -5.467 -8.938 8.572
Cd 0.000 0.000 0.000
Cd -5.544 -3.956 5.235
! N(E_F): 6.2 states/eV per cell
! E: -3.21 eV/atom
! calculated density: 7.59 g cm⁻³
! ΔE_f: 0.4173 eV/atom
! crystal system: tetragonal

(4)
! GGA-PBE Sc3PbS2, optimized geometry; values from VASP
&SYSTEM
  ibrav = 0, nat = 12, ntyp = 3
/
ATOMIC_SPECIES
Sc 44.96 Sc.upf
Pb 207.20 Pb.upf
S 32.06 S.upf
CELL_PARAMETERS angstrom
3.619 0.000 0.000
-1.810 6.952 0.000
0.000 0.000 10.383
ATOMIC_POSITIONS angstrom
Sc 1.810 1.888 0.227
Sc 0.000 0.413 7.787
Sc 1.810 1.888 4.965
Sc 1.810 6.538 2.596
Sc 0.000 5.064 10.156
Sc 0.000 5.064 5.419
Pb 0.000 3.944 2.596
Pb 1.810 3.008 7.787
S 0.000 0.000 0.000
S 0.000 0.000 5.192
S 1.810 1.291 2.596
S 0.000 5.661 7.787
! N(E_F): 6.5 states/eV per cell
! ΔE_f (raw): -1.186 eV/atom
! E: -6.35 eV/atom
! calculated density: 5.16 g cm⁻³
! crystal system: orthorhombic

(5)
! GGA-PBE CdTe2MoPb, optimized geometry; values from VASP
&SYSTEM
  ibrav = 0, nat = 5, ntyp = 4
/
ATOMIC_SPECIES
Pb 207.20 Pb.upf
Mo 95.94 Mo.upf
Te 127.60 Te.upf
Cd 112.41 Cd.upf
CELL_PARAMETERS angstrom
5.298 0.000 0.000
0.000 5.388 0.000
0.000 0.000 5.298
ATOMIC_POSITIONS angstrom
Pb 2.649 2.694 2.649
Mo 0.000 0.000 0.000
Te 0.000 0.000 2.649
Te 2.649 0.000 0.000
Cd 0.000 2.694 0.000
! N(E_F): 4.8 states/eV per cell
! ΔE_f (raw): 0.419 eV/atom
! E: -3.93 eV/atom
! calculated density: 7.36 g cm⁻³
! crystal system: tetragonal

(6)
! GGA-PBE TePt2Cl, optimized geometry; values from VASP
&SYSTEM
  ibrav = 0, nat = 4, ntyp = 3
/
ATOMIC_SPECIES
Cl 35.45 Cl.upf
Pt 195.08 Pt.upf
Te 127.60 Te.upf
CELL_PARAMETERS angstrom
3.505 0.000 0.000
0.000 3.505 0.000
0.000 0.000 7.078
ATOMIC_POSITIONS angstrom
Cl 1.752 1.752 5.766
Pt 0.000 0.000 0.284
Pt 1.752 1.752 1.711
Te 0.000 0.000 2.856
! N(E_F): 1.8 states/eV per cell
! ΔE_f (raw): 0.031 eV/atom
! E: -4.24 eV/atom
! calculated density: 10.57 g cm⁻³
! crystal system: tetragonal
! excess energy over the best structure of this formula in the dataset: 6.237 kcal/mol of atoms

(7)
! GGA-PBE MgReGe2, optimized geometry; values from VASP
&SYSTEM
  ibrav = 0, nat = 8, ntyp = 3
/
ATOMIC_SPECIES
Re 186.21 Re.upf
Ge 72.64 Ge.upf
Mg 24.30 Mg.upf
CELL_PARAMETERS angstrom
5.958 0.000 0.000
0.000 5.958 0.000
2.979 2.979 5.856
ATOMIC_POSITIONS angstrom
Re 0.000 0.000 0.000
Re 5.958 2.979 2.928
Ge 4.799 1.490 1.464
Ge 1.160 4.469 1.464
Ge 4.469 4.139 4.392
Ge 7.448 7.778 4.392
Mg 2.979 2.979 0.000
Mg 2.979 5.958 2.928
! N(E_F): 3.4 states/eV per cell
! E: -5.12 eV/atom
! calculated density: 5.68 g cm⁻³
! ΔE_f: 0.6956 eV/atom
! crystal system: tetragonal

(8)
! GGA-PBE Cd12GaHg6, optimized geometry; values from VASP
&SYSTEM
  ibrav = 0, nat = 19, ntyp = 3
/
ATOMIC_SPECIES
Cd 112.41 Cd.upf
Ga 69.72 Ga.upf
Hg 200.59 Hg.upf
CELL_PARAMETERS angstrom
7.759 0.776 0.930
-0.409 7.787 0.930
-0.409 -0.476 7.828
ATOMIC_POSITIONS angstrom
Cd 6.316 3.337 4.613
Cd 2.939 6.840 4.108
Cd 2.341 3.333 7.464
Cd 0.625 4.750 5.075
Cd 4.002 1.246 5.580
Cd 4.600 4.754 2.223
Cd 0.573 0.008 2.725
Cd 7.020 5.507 8.643
Cd 4.379 7.115 9.193
Cd 6.368 8.079 6.963
Cd -0.079 2.580 1.045
Cd 2.562 0.972 0.495
Ga 0.000 0.000 0.000
Hg 5.787 6.321 4.565
Hg 4.495 1.857 2.653
Hg 1.571 4.788 2.301
Hg 1.154 1.766 5.122
Hg 2.446 6.230 7.035
Hg 5.370 3.299 7.387
! N(E_F): 6.7 states/eV per cell
! E: -0.77 eV/atom
! calculated density: 9.04 g cm⁻³
! ΔE_f: 0.0601 eV/atom
! crystal system: trigonal
! excess energy over the best structure of this formula in the dataset: 0.399 kcal/mol of atoms

(9)
! GGA-PBE PrHo2Th2, optimized geometry; values from VASP
&SYSTEM
  ibrav = 0, nat = 5, ntyp = 3
/
ATOMIC_SPECIES
Pr 140.91 Pr.upf
Ho 164.93 Ho.upf
Th 232.04 Th.upf
CELL_PARAMETERS angstrom
-1.379 0.163 -3.298
1.137 -3.129 1.311
-13.373 -2.571 5.464
ATOMIC_POSITIONS angstrom
Pr -6.686 -1.286 2.732
Ho -9.922 -2.738 2.072
Ho -3.692 -2.799 1.405
Th -11.753 -4.349 4.699
Th -1.861 -1.188 -1.222
! N(E_F): 6.6 states/eV per cell
! E: -5.72 eV/atom
! calculated density: 9.54 g cm⁻³
! ΔE_f: 0.0339 eV/atom
! crystal system: trigonal
! excess energy over the best structure of this formula in the dataset: 0.407 kcal/mol of atoms

(10)
! GGA-PBE Tb3Pr2NdTe6, optimized geometry; values from VASP
&SYSTEM
  ibrav = 0, nat = 12, ntyp = 4
/
ATOMIC_SPECIES
Tb 158.93 Tb.upf
Pr 140.91 Pr.upf
Nd 144.24 Nd.upf
Te 127.60 Te.upf
CELL_PARAMETERS angstrom
-1.491 3.343 -2.446
4.588 -3.126 -7.068
-7.940 -6.014 0.583
ATOMIC_POSITIONS angstrom
Tb 1.549 0.108 -4.757
Tb -5.760 -1.738 -2.826
Tb 0.917 -4.060 -6.106
Pr -3.475 -3.305 -6.360
Pr -1.368 -2.492 -2.572
Nd -0.745 1.671 -1.223
Te -1.514 -5.768 -6.958
Te -0.878 -1.596 -5.607
Te -3.329 -0.030 -1.973
Te -8.204 -3.443 -3.666
Te 3.361 -2.355 -5.266
Te -3.965 -4.201 -3.324
! N(E_F): 6.1 states/eV per cell
! ΔE_f (raw): -1.376 eV/atom
! E: -5.30 eV/atom
! calculated density: 7.43 g cm⁻³
! crystal system: monoclinic

(11)
! GGA-PBE Sr3GaSe, optimized geometry; values from VASP
&SYSTEM
  ibrav = 0, nat = 5, ntyp = 3
/
ATOMIC_SPECIES
Sr 87.62 Sr.upf
Ga 69.72 Ga.upf
Se 78.96 Se.upf
CELL_PARAMETERS angstrom
-4.866 3.218 0.823
-0.150 -1.671 5.648
3.318 4.644 1.462
ATOMIC_POSITIONS angstrom
Sr -0.075 -0.836 2.824
Sr 1.659 2.322 0.731
Sr -2.433 1.609 0.411
Ga -0.849 3.095 3.966
Se 0.000 0.000 0.000
! N(E_F): 7.1 states/eV per cell
! ΔE_f (raw): -0.669 eV/atom
! E: -2.98 eV/atom
! calculated density: 3.34 g cm⁻³
! crystal system: cubic
! excess energy over the best structure of this formula in the dataset: 0.000 kcal/mol of atoms

(12)
! GGA-PBE CsThMg2Cl8, optimized geometry; values from VASP
&SYSTEM
  ibrav = 0, nat = 12, ntyp = 4
/
ATOMIC_SPECIES
Cs 132.91 Cs.upf
Th 232.04 Th.upf
Mg 24.30 Mg.upf
Cl 35.45 Cl.upf
CELL_PARAMETERS angstrom
6.663 0.000 0.000
3.332 5.770 0.000
3.332 1.923 10.820
ATOMIC_POSITIONS angstrom
Cs 6.663 3.847 5.410
Th 0.000 0.000 0.000
Mg 3.332 1.923 2.528
Mg 9.995 5.770 8.293
Cl 3.332 1.923 4.809
Cl 5.566 1.965 1.674
Cl 9.995 5.770 6.012
Cl 8.842 3.838 1.674
Cl 4.485 3.856 9.146
Cl 5.581 5.738 1.674
Cl 7.745 1.956 9.146
Cl 7.760 5.729 9.146
! N(E_F): 7.0 states/eV per cell
! ΔE_f (raw): -1.806 eV/atom
! E: -3.99 eV/atom
! calculated density: 2.78 g cm⁻³
! crystal system: trigonal

(13)
! GGA-PBE Na2BiPdO4, optimized geometry; values from VASP
&SYSTEM
  ibrav = 0, nat = 8, ntyp = 4
/
ATOMIC_SPECIES
Na 22.99 Na.upf
Bi 208.98 Bi.upf
Pd 106.42 Pd.upf
O 16.00 O.upf
CELL_PARAMETERS angstrom
-3.786 -3.708 0.534
3.155 -0.981 -4.178
3.278 0.100 4.197
ATOMIC_POSITIONS angstrom
Na 1.293 -2.565 -1.817
Na 0.000 0.000 0.000
Bi 3.216 -0.441 0.010
Pd 1.354 -2.024 2.371
O 1.150 -2.701 0.483
O 1.727 -0.170 1.673
O -2.067 -4.010 -1.128
O 4.483 -2.297 0.080
! N(E_F): 3.5 states/eV per cell
! ΔE_f (raw): -1.048 eV/atom
! E: -4.99 eV/atom
! calculated density: 6.10 g cm⁻³
! crystal system: tetragonal

(14)
! GGA-PBE Hg2IrPb, optimized geometry; values from VASP
&SYSTEM
  ibrav = 0, nat = 4, ntyp = 3
/
ATOMIC_SPECIES
Hg 200.59 Hg.upf
Ir 192.22 Ir.upf
Pb 207.20 Pb.upf
CELL_PARAMETERS angstrom
-8.404 0.116 -5.873
-9.214 -2.261 -3.890
-9.758 0.779 -3.051
ATOMIC_POSITIONS angstrom
Hg -27.045 -1.350 -12.660
Hg -14.019 -0.700 -6.562
Ir -6.844 -0.342 -3.204
Pb -20.532 -1.025 -9.611
! N(E_F): 2.5 states/eV per cell
! E: -2.84 eV/atom
! calculated density: 14.86 g cm⁻³
! ΔE_f: 0.4558 eV/atom
! crystal system: trigonal

(15)
! GGA-PBE Pm2Pr3Ho2, optimized geometry; values from VASP
&SYSTEM
  ibrav = 0, nat = 7, ntyp = 3
/
ATOMIC_SPECIES
Pm 145.00 Pm.upf
Pr 140.91 Pr.upf
Ho 164.93 Ho.upf
CELL_PARAMETERS angstrom
-2.276 -0.305 2.717
-2.729 -7.616 -3.140
7.972 0.233 4.376
ATOMIC_POSITIONS angstrom
Pm -2.744 -7.082 -0.764
Pm 5.711 -0.605 4.716
Pr -1.365 -3.808 -1.570
Pr 0.746 -6.027 -0.050
Pr 2.221 -1.661 4.003
Ho 1.870 -5.201 3.313
Ho 1.097 -2.486 0.640
! N(E_F): 10.8 states/eV per cell
! E: -4.60 eV/atom
! calculated density: 7.17 g cm⁻³
! ΔE_f: 0.1138 eV/atom
! crystal system: monoclinic
! excess energy over the best structure of this formula in the dataset: 0.441 kcal/mol of atoms

(16)
! GGA-PBE InCo2Rh, optimized geometry; values from VASP
&SYSTEM
  ibrav = 0, nat = 4, ntyp = 3
/
ATOMIC_SPECIES
Co 58.93 Co.upf
In 114.82 In.upf
Rh 102.91 Rh.upf
CELL_PARAMETERS angstrom
4.028 0.000 0.000
0.000 2.820 0.003
0.000 1.408 5.033
ATOMIC_POSITIONS angstrom
Co 0.000 0.531 0.030
Co 2.014 0.524 1.168
In 0.000 1.936 2.428
Rh 2.014 3.350 3.929
! N(E_F): 4.2 states/eV per cell
! E: -5.96 eV/atom
! calculated density: 9.75 g cm⁻³
! ΔE_f: 0.1131 eV/atom
! crystal system: monoclinic

(17)
! GGA-PBE ScAg2Br, optimized geometry; values from VASP
&SYSTEM
  ibrav = 0, nat = 4, ntyp = 3
/
ATOMIC_SPECIES
Ag 107.87 Ag.upf
Br 79.90 Br.upf
Sc 44.96 Sc.upf
CELL_PARAMETERS angstrom
8.482 -0.001 -0.001
7.719 3.518 -0.001
7.719 1.675 3.093
ATOMIC_POSITIONS angstrom
Ag 0.049 0.011 0.006
Ag 11.911 2.585 1.540
Br 5.980 1.298 0.773
Sc 17.940 3.894 2.319
! N(E_F): 0.3 states/eV per cell
! ΔE_f (raw): -0.143 eV/atom
! E: -3.57 eV/atom
! calculated density: 6.13 g cm⁻³
! crystal system: trigonal
! excess energy over the best structure of this formula in the dataset: 5.589 kcal/mol of atoms

(18)
! GGA-PBE Y2CuO, optimized geometry; values from VASP
&SYSTEM
  ibrav = 0, nat = 8, ntyp = 3
/
ATOMIC_SPECIES
Y 88.91 Y.upf
O 16.00 O.upf
Cu 63.55 Cu.upf
CELL_PARAMETERS angstrom
-2.092 4.738 -3.805
1.403 -3.539 -5.178
-4.154 -1.021 -4.416
ATOMIC_POSITIONS angstrom
Y -2.029 1.942 -3.871
Y -0.565 -1.554 -5.074
Y -3.279 -0.556 -7.032
Y -3.814 0.523 -10.821
O -0.345 0.600 -4.492
O -1.548 -1.980 -7.043
Cu 0.000 0.000 0.000
Cu -3.295 2.158 -6.356
! N(E_F): 10.4 states/eV per cell
! ΔE_f (raw): -1.353 eV/atom
! E: -6.85 eV/atom
! calculated density: 5.00 g cm⁻³
! crystal system: tetragonal

(19)
! GGA-PBE TcTeSe2, optimized geometry; values from VASP
&SYSTEM
  ibrav = 0, nat = 32, ntyp = 3
/
ATOMIC_SPECIES
Te 127.60 Te.upf
Tc 98.00 Tc.upf
Se 78.96 Se.upf
CELL_PARAMETERS angstrom
-13.165 -6.116 -9.119
1.801 -7.120 -0.862
-2.022 -1.489 6.955
ATOMIC_POSITIONS angstrom
Te -5.434 -7.218 -3.577
Te 0.598 -5.083 -0.342
Te -7.952 -7.507 0.551
Te -13.984 -9.642 -2.684
Te -4.284 -9.455 -2.308
Te -0.658 -6.983 1.317
Te -9.102 -5.270 -0.718
Te -12.728 -7.742 -4.342
Tc -3.013 -2.427 0.840
Tc -3.786 -9.063 0.568
Tc -10.373 -12.298 -3.866
Tc -9.601 -5.662 -3.594
Tc -4.826 -4.479 1.262
Tc -3.856 -3.084 3.269
Tc -8.561 -10.245 -4.288
Tc -9.530 -11.641 -6.294
Se -11.850 -11.580 -5.708
Se -6.255 -10.857 -4.484
Se -1.537 -3.145 2.683
Se -7.131 -3.868 1.458
Se -9.602 -6.125 -5.954
Se -10.330 -10.227 -2.644
Se -3.784 -8.600 2.928
Se -3.057 -4.498 -0.382
Se -7.959 -7.852 -3.279
Se -12.095 -13.265 -1.946
Se -5.427 -6.873 0.254
Se -1.291 -1.460 -1.080
Se -10.930 -7.083 -2.122
Se -2.456 -7.642 -0.903
Se -9.003 -9.306 -6.450
Se -4.383 -5.419 3.424
! N(E_F): 14.1 states/eV per cell
! ΔE_f (raw): -0.087 eV/atom
! E: -5.21 eV/atom
! calculated density: 5.72 g cm⁻³
! crystal system: monoclinic

(20)
! GGA-PBE ThGaTc2, optimized geometry; values from VASP
&SYSTEM
  ibrav = 0, nat = 4, ntyp = 3
/
ATOMIC_SPECIES
Ga 69.72 Ga.upf
Tc 98.00 Tc.upf
Th 232.04 Th.upf
CELL_PARAMETERS angstrom
4.672 0.000 0.000
2.336 4.046 0.000
2.336 1.349 3.814
ATOMIC_POSITIONS angstrom
Ga 4.672 2.697 1.907
Tc 7.008 4.046 2.860
Tc 2.336 1.349 0.954
Th 0.000 0.000 0.000
! N(E_F): 4.8 states/eV per cell
! E: -7.85 eV/atom
! calculated density: 11.46 g cm⁻³
! ΔE_f: -0.0587 eV/atom
! crystal system: cubic
! excess energy over the best structure of this formula in the dataset: 0.000 kcal/mol of atoms